Below is RbBi2Cl after structural relaxation, with properties calculated at the PBEsol level.

Cell and atoms, written as POSCAR:
```
RbBi2Cl
1.0
0.000 3.964 3.964
3.964 0.000 3.964
3.964 3.964 0.000
Rb Bi Cl
1 2 1
direct
0.000 0.000 0.000
0.250 0.250 0.250
0.750 0.750 0.750
0.500 0.500 0.500
```

Values from the calculation:
Symmetry: Fm-3m (225)
ρ: 7.184 g cm⁻³
V: 124.6 Å³/f.u.
DOS(E_F): 3.1 states/eV per cell

Below is Rb3BiCl6 after structural relaxation, with properties calculated at the PBEsol level.

Cell and atoms, written as POSCAR:
```
Rb3BiCl6
1.0
0.000 5.716 5.716
5.716 0.000 5.716
5.716 5.716 0.000
Rb Bi Cl
3 1 6
direct
0.000 0.000 0.000
0.250 0.250 0.250
0.750 0.750 0.750
0.500 0.500 0.500
0.265 0.265 0.735
0.265 0.735 0.265
0.265 0.735 0.735
0.735 0.265 0.265
0.735 0.265 0.735
0.735 0.735 0.265
```

Values from the calculation:
Symmetry: Fm-3m (225)
ρ: 3.015 g cm⁻³
V: 373.5 Å³/f.u.
DOS(E_F): 0.0 states/eV per cell

Below is RbBiSCl2 after structural relaxation, with properties calculated at the PBEsol level.

Cell and atoms, written as POSCAR:
```
RbBiSCl2
1.0
5.531 0.000 0.000
0.000 5.531 0.000
0.000 0.000 5.371
Rb Bi S Cl
1 1 1 2
direct
0.000 0.000 0.000
0.500 0.500 0.500
0.000 0.000 0.500
0.000 0.500 0.000
0.500 0.000 0.000
```

Values from the calculation:
Symmetry: P4/mmm (123)
ρ: 4.016 g cm⁻³
V: 164.3 Å³/f.u.
DOS(E_F): 2.4 states/eV per cell

Below is ReBi2Cl after structural relaxation, with properties calculated at the PBEsol level.

Cell and atoms, written as POSCAR:
```
ReBi2Cl
1.0
-3.270 3.270 6.274
3.270 -3.270 6.274
3.270 3.270 -6.274
Re Bi Cl
2 4 2
direct
0.000 0.000 0.000
0.750 0.250 0.500
0.065 0.625 0.940
0.375 0.315 0.440
0.685 0.125 0.060
0.875 0.935 0.560
0.250 0.750 0.500
0.500 0.500 0.000
```

Values from the calculation:
Symmetry: I-42d (122)
ρ: 7.915 g cm⁻³
V: 134.2 Å³/f.u.
DOS(E_F): 4.5 states/eV per cell

no.,total energy (eV for the cell shown)
1,-11.10
2,-34.71
3,-12.37
4,-41.59